[1]
The following is a PBE calculation of a relaxed structure of CaTbGdTl, from the Alexandria database.

Values from the calculation:
The value obtained for the theoretical density is 7.74 Mg/m³. The value obtained for the formation enthalpy at 0 K is -0.062 eV per atom.

Cell lengths 5.542, 5.542, 5.542 Å; angles 60.00, 60.00, 60.00 degrees
Element x y z (fractional)
Ca 0.000 0.000 0.000
Tb 0.250 0.250 0.250
Gd 0.750 0.750 0.750
Tl 0.500 0.500 0.500



[2]
The following is a PBE calculation of a relaxed structure of CaSi2IrRu, from the Alexandria database.

Values from the calculation:
The value obtained for the theoretical density is 7.59 Mg/m³. The calculation puts the formation energy without anion corrections at -0.8544 eV per atom.

Cell lengths 5.732, 5.732, 5.732 Å; angles 137.40, 137.40, 61.82 degrees
Element x y z (fractional)
Ca 0.000 0.000 0.000
Si 0.370 0.370 0.000
Si 0.630 0.630 0.000
Ir 0.250 0.750 0.500
Ru 0.750 0.250 0.500



[3]
The following is a PBE calculation of a relaxed structure of Ce2Te4O11, from the Alexandria database.

Values from the calculation:
The value obtained for the theoretical density is 5.87 Mg/m³. The calculation puts the formation energy without anion corrections at -1.7798 eV per atom.

Cell lengths 6.932, 6.932, 16.631 Å; angles 103.72, 103.72, 45.11 degrees
Element x y z (fractional)
Ce 0.130 0.633 0.962
Ce 0.367 0.870 0.538
Ce 0.633 0.130 0.462
Ce 0.870 0.367 0.038
Te 0.088 0.649 0.627
Te 0.104 0.657 0.300
Te 0.343 0.896 0.200
Te 0.351 0.912 0.873
Te 0.649 0.088 0.127
Te 0.657 0.104 0.800
Te 0.896 0.343 0.700
Te 0.912 0.351 0.373
O 0.060 0.891 0.399
O 0.109 0.940 0.101
O 0.166 0.248 0.944
O 0.178 0.316 0.628
O 0.248 0.166 0.444
O 0.305 0.405 0.832
O 0.309 0.544 0.546
O 0.316 0.178 0.128
O 0.353 0.647 0.250
O 0.405 0.305 0.332
O 0.456 0.691 0.954
O 0.544 0.309 0.046
O 0.595 0.695 0.668
O 0.647 0.353 0.750
O 0.684 0.822 0.872
O 0.691 0.456 0.454
O 0.695 0.595 0.168
O 0.752 0.834 0.556
O 0.822 0.684 0.372
O 0.834 0.752 0.056
O 0.891 0.060 0.899
O 0.940 0.109 0.601



[4]
The following is a PBE calculation of a relaxed structure of CoRu4Pt, from the Alexandria database.

Values from the calculation:
The value obtained for the theoretical density is 12.06 Mg/m³. The value obtained for the formation enthalpy at 0 K is 0.649 eV per atom.

Cell lengths 5.042, 5.042, 5.042 Å; angles 60.00, 60.00, 60.00 degrees
Element x y z (fractional)
Co 0.000 0.000 0.000
Ru 0.375 0.375 0.375
Ru 0.375 0.375 0.875
Ru 0.375 0.875 0.375
Ru 0.875 0.375 0.375
Pt 0.750 0.750 0.750



| no. | total magnetic moment (μB per cell) |
| --- | --- |
| 1 | 7.6 |
| 2 | 0.0 |
| 3 | 4.1 |
| 4 | 5.0 |